# PBE KCuSnBr5, relaxed
# V (A^3/atom): 35.24
# Energy relative to the elements, uncorrected (meV/atom): -847
# Total moment (μB per atom): 0.000
# D(E_F) (states/eV per cell): 14.761
# Crystal system: monoclinic
data_KCuSnBr5
_cell_length_a 9.242
_cell_length_b 12.436
_cell_length_c 10.710
_cell_angle_alpha 90.00
_cell_angle_beta 113.64
_cell_angle_gamma 90.00
_symmetry_space_group_name_H-M 'C 1 2/c 1'
_symmetry_Int_Tables_number 15
_symmetry_space_group_name_Hall '-C 2yc'
loop_
_atom_site_label
_atom_site_type_symbol
_atom_site_fract_x
_atom_site_fract_y
_atom_site_fract_z
K1 K 0.000 0.158 0.250
Cu1 Cu 0.000 0.189 0.750
Sn1 Sn 0.000 0.500 0.000
Br1 Br 0.000 0.427 0.250
Br2 Br 0.104 0.287 0.607
Br3 Br 0.180 0.065 0.921